# 1
Material: ZnFe3
Method: DFT, PBEsol
State: relaxed

## Properties
total DFT energy (no corrections): -7.03 eV per atom
calculated volume: 11.45 Å³/atom
calculated formation energy: 0.09 eV/atom
SG: Pmmm (47)

a b c (Å): 2.437 3.729 5.037
angles (deg): 90.00 90.00 90.00
Sites, in units of the cell vectors:
Zn (0.000, 0.000, 0.000)
Fe (0.000, 0.000, 0.500)
Fe (0.500, 0.500, 0.255)
Fe (0.500, 0.500, 0.745)


# 2
Material: Cd2InRu
Method: DFT, PBEsol
State: relaxed

## Properties
polymorph energy (0 for the lowest one): 0.03 eV/f.u.
total DFT energy (no corrections): -3.71 eV per atom
calculated volume: 18.27 Å³/atom
calculated formation energy: 0.18 eV/atom
SG: P4mm (99)

a b c (Å): 3.472 3.472 6.064
angles (deg): 90.00 90.00 90.00
Sites, in units of the cell vectors:
Cd (0.000, 0.000, 0.000)
Cd (0.500, 0.500, 0.252)
In (0.000, 0.000, 0.540)
Ru (0.500, 0.500, 0.750)


# 3
Material: Li2FeRu
Method: DFT, PBEsol
State: relaxed

## Properties
polymorph energy (0 for the lowest one): 0.00 eV/f.u.
total DFT energy (no corrections): -5.53 eV per atom
calculated volume: 12.53 Å³/atom
calculated formation energy: 0.24 eV/atom
SG: P2/m (10)

a b c (Å): 2.474 4.520 4.485
angles (deg): 90.00 92.25 90.00
Sites, in units of the cell vectors:
Li (0.228, 0.000, 0.245)
Li (0.772, 0.000, 0.755)
Fe (0.000, 0.500, 0.500)
Ru (0.500, 0.500, 0.000)